The following is a DFT calculation (PBE) of crystalline LiTbSnRu at its relaxed geometry.

Output
Calculated volume ... 300.7 Å³ per cell
Formation enthalpy at 0 K ... -0.407 eV per atom
ρ ... 8.52 g/cm3

Cell: 6.6998 6.6998 6.6998 Å, 90.00 90.00 90.00°
Last column: nearest neighbours and their distance in Å.
Space group F-43m (No. 216)
Inequivalent atoms, fractional coordinates:
Li: 0.0000 0.0000 0.0000 x4  4 Tb 2.90, 4 Sn 2.90
Tb: 0.2500 0.2500 0.7500 x4  4 Li 2.90, 4 Ru 2.90
Sn: 0.2500 0.2500 0.2500 x4  4 Li 2.90, 4 Ru 2.90
Ru: 0.0000 0.0000 0.5000 x4  4 Sn 2.90, 4 Tb 2.90

The following is a DFT calculation (PBE) of crystalline ThNp2SiC4 at its relaxed geometry.

Output
Calculated volume ... 468.8 Å³ per cell
ρ ... 11.08 g/cm3
E_form (uncorrected) ... -54 meV per atom

Cell: 3.5453 11.3999 11.6004 Å, 90.00 90.00 90.00°
Last column: nearest neighbours and their distance in Å.
Space group Cmcm (No. 63)
Inequivalent atoms, fractional coordinates:
Th: 0.0000 0.1045 0.2500 x4  6 C 2.69-2.74
Np: 0.0000 0.3712 0.0496 x8  6 C 2.35-2.51
Si: 0.0000 0.1629 0.7500 x4  4 C 1.87-2.05
C: 0.0000 0.0000 0.0000 x4  4 Np 2.37
C: 0.0000 0.2647 0.6236 x8  1 Si 1.87
C: 0.0000 0.4268 0.2500 x4  2 Si 2.05

The following is a DFT calculation (PBE) of crystalline La2SmDySc at its relaxed geometry.

Output
Calculated volume ... 696.4 Å³ per cell
Formation enthalpy at 0 K ... 0.359 eV per atom
ρ ... 6.06 g/cm3

Cell: 8.2643 11.5641 7.2871 Å, 90.00 90.00 90.00°
Last column: nearest neighbours and their distance in Å.
Space group Cmcm (No. 63)
Inequivalent atoms, fractional coordinates:
La: 0.1986 0.0000 0.0000 x8  2 Sc 3.09, 1 La 3.28
Sm: 0.0000 0.2296 0.2500 x4  1 Sc 2.98
Dy: 0.0000 0.2477 0.7500 x4  1 Sc 3.07
Sc: 0.0000 0.4872 0.2500 x4  1 Sm 2.98, 1 Dy 3.07, 4 La 3.09

> Look up the ρ of the first one.

8.52 g/cm3

> The highest calculated volume belongs to which entry?

La2SmDySc

> Number 1 is which compound?

LiTbSnRu